No. 1
Compound: Zn2TcRu
Source: Alexandria via LeMat-Bulk
Functional: meta-GGA SCAN
Structure: PBEsol geometry

The calculation puts the energy relative to the lowest polymorph listed for this composition at 53.3 kJ/mol of formula units.

The structure belongs to space group I-4m2 (No. 119); the cell edges are 4.0063, 4.0063 and 6.6845 Å and the angles 90.00°, 90.00° and 90.00°. The asymmetric unit holds Zn at (0.0000, 0.0000, 0.0000), Zn at (0.0000, 0.5000, 0.2500), Tc at (0.0000, 0.5000, 0.7500) and Ru at (0.0000, 0.0000, 0.5000).

No. 2
Compound: ZnTcRu2
Source: Alexandria via LeMat-Bulk
Functional: meta-GGA SCAN
Structure: PBEsol geometry

The structure belongs to space group I-4m2 (No. 119); the cell edges are 3.6443, 3.6443 and 8.0762 Å and the angles 90.00°, 90.00° and 90.00°. The asymmetric unit holds Zn at (0.0000, 0.0000, 0.0000), Tc at (0.0000, 0.5000, 0.7500), Ru at (0.0000, 0.0000, 0.5000) and Ru at (0.0000, 0.5000, 0.2500).

No. 3
Compound: Zn2TcRu
Source: Alexandria via LeMat-Bulk
Functional: meta-GGA SCAN
Structure: PBEsol geometry

The calculation puts the energy relative to the lowest polymorph listed for this composition at 0.0 kJ/mol of formula units.

The structure belongs to space group P4mm (No. 99); the cell edges are 2.8191, 2.8191 and 6.8146 Å and the angles 90.00°, 90.00° and 90.00°. The asymmetric unit holds Zn at (0.0000, 0.0000, 0.0000), Zn at (0.5000, 0.5000, 0.2485), Tc at (0.5000, 0.5000, 0.7372) and Ru at (0.0000, 0.0000, 0.5024).

No. 4
Compound: Zn2TcRu
Source: Alexandria via LeMat-Bulk
Functional: meta-GGA SCAN
Structure: PBEsol geometry

The calculation puts the energy relative to the lowest polymorph listed for this composition at 97.0 kJ/mol of formula units.

The structure belongs to space group Immm (No. 71); the cell edges are 2.8442, 4.4140 and 8.7027 Å and the angles 90.00°, 90.00° and 90.00°. The asymmetric unit holds Zn at (0.0000, 0.0000, 0.2465), Tc at (0.0000, 0.5000, 0.0000) and Ru at (0.0000, 0.5000, 0.5000).

No. 5
Compound: Zn2TcRu
Source: Alexandria via LeMat-Bulk
Functional: meta-GGA SCAN
Structure: PBEsol geometry

The calculation puts the energy relative to the lowest polymorph listed for this composition at 92.8 kJ/mol of formula units.

The structure belongs to space group Cmmm (No. 65); the cell edges are 2.9569, 4.3059 and 8.5565 Å and the angles 90.00°, 90.00° and 90.00°. The asymmetric unit holds Zn at (0.0000, 0.0000, 0.2468), Tc at (0.0000, 0.5000, 0.5000) and Ru at (0.0000, 0.5000, 0.0000).

No. 6
Compound: ZnTc2Ru
Source: Alexandria via LeMat-Bulk
Functional: meta-GGA SCAN
Structure: PBEsol geometry

The structure belongs to space group R-3m (No. 166, hexagonal axes); the cell edges are 2.6904, 2.6904 and 26.2838 Å and the angles 90.00°, 90.00° and 120.00°. The asymmetric unit holds Zn at (0.0000, 0.0000, 0.0000), Tc at (0.0000, 0.0000, 0.2481) and Ru at (0.0000, 0.0000, 0.5000).

Final energy list, top to bottom, in eV/atom: -24.1874 -29.4184 -24.3255 -24.0742 -24.0849 -29.5434